Entry from the Alexandria database: crystalline MnBeSbTe2 at its relaxed geometry (PBE-GGA).

Summary:
* symmetry: No. 123
* formation energy without anion corrections: 0.823 eV/atom
* excess energy over the best structure of this formula in the dataset: 0.0 meV per atom

Cell: 5.0825 5.0825 4.8734 Å, 90.00 90.00 90.00°
Fractional positions:
1 Sb 0.0000 0.0000 0.5000
2 Te 0.0000 0.5000 0.0000
3 Te 0.5000 0.0000 0.0000
4 Mn 0.0000 0.0000 0.0000
5 Be 0.5000 0.5000 0.5000


Entry from the Alexandria database: crystalline KNaGa2Ni at its relaxed geometry (PBE-GGA).

Summary:
* symmetry: No. 123
* DFT formation energy: -94 meV/atom

Cell: 4.6570 4.6570 5.4819 Å, 90.00 90.00 90.00°
Fractional positions:
1 Ni 0.0000 0.0000 0.0000
2 K 0.5000 0.5000 0.5000
3 Ga 0.0000 0.5000 0.0000
4 Ga 0.5000 0.0000 0.0000
5 Na 0.0000 0.0000 0.5000


Entry from the Alexandria database: crystalline AcY3Tm7 at its relaxed geometry (PBE-GGA).

Summary:
* symmetry: No. 156
* DFT formation energy: 225 meV/atom

Cell: 8.6596 7.0454 7.0454 Å, 120.00 90.00 90.00°
Fractional positions:
1 Ac 0.4462 0.3333 0.6667
2 Y 0.7885 0.5018 0.4982
3 Y 0.7885 0.5018 0.0036
4 Y 0.7885 0.9964 0.4982
5 Tm 0.1167 0.1666 0.8334
6 Tm 0.1167 0.1666 0.3332
7 Tm 0.1185 0.6667 0.3333
8 Tm 0.4449 0.8320 0.1680
9 Tm 0.4449 0.3360 0.1680
10 Tm 0.4449 0.8320 0.6640
11 Tm 0.1167 0.6668 0.8334


Entry from the Alexandria database: crystalline Ca2ZnGePt6 at its relaxed geometry (PBE-GGA).

Summary:
* symmetry: No. 225
* DFT formation energy: -227 meV/atom

Cell: 6.6638 6.6638 6.6639 Å, 60.00 60.00 90.00°
Fractional positions:
1 Ca 0.2500 0.7500 0.5000
2 Ca 0.7500 0.2500 0.5000
3 Zn 0.5000 0.5000 0.0000
4 Ge 0.0000 0.0000 0.0000
5 Pt 0.2484 0.7516 0.0000
6 Pt 0.7516 0.7516 0.0000
7 Pt 0.2484 0.2484 0.5031
8 Pt 0.7516 0.2484 0.0000
9 Pt 0.2484 0.2484 0.0000
10 Pt 0.7516 0.7516 0.4969


Entry from the Alexandria database: crystalline SrSmBN2 at its relaxed geometry (PBE-GGA).

Summary:
* symmetry: No. 49
* formation energy without anion corrections: -0.803 eV/atom

Cell: 5.1843 5.3518 6.9511 Å, 90.01 90.00 90.00°
Fractional positions:
1 Sr 0.0004 0.5000 0.7500
2 Sr 0.9996 0.5000 0.2500
3 Sm 0.4998 0.0000 0.2500
4 Sm 0.5002 0.0000 0.7500
5 B 0.0000 0.0000 0.0000
6 B 0.0000 0.0000 0.5000
7 N 0.7932 0.8424 0.0001
8 N 0.7932 0.1576 0.4999
9 N 0.2068 0.8424 0.5001
10 N 0.2068 0.1576 0.9999


Entry from the Alexandria database: crystalline AcPm2Ga2 at its relaxed geometry (PBE-GGA).

Summary:
* symmetry: No. 11
* DFT formation energy: -378 meV/atom

Cell: 5.3365 5.3372 10.8953 Å, 90.33 90.00 90.00°
Fractional positions:
1 Ac 0.2500 0.7525 0.2329
2 Ac 0.7500 0.2475 0.7671
3 Pm 0.2500 0.7487 0.8862
4 Pm 0.7500 0.2513 0.1138
5 Pm 0.2500 0.2525 0.5000
6 Pm 0.7500 0.7475 0.5000
7 Ga 0.2500 0.7552 0.6222
8 Ga 0.7500 0.2448 0.3778
9 Ga 0.2500 0.2500 0.0000
10 Ga 0.7500 0.7500 0.0000


Entry from the Alexandria database: crystalline Mn2CoTc2 at its relaxed geometry (PBE-GGA).

Summary:
* symmetry: No. 127
* DFT formation energy: 275 meV/atom

Cell: 6.7714 6.7714 2.7893 Å, 90.00 90.00 90.00°
Fractional positions:
1 Mn 0.3678 0.8678 0.0000
2 Mn 0.8678 0.6322 0.0000
3 Mn 0.6322 0.1322 0.0000
4 Mn 0.1322 0.3678 0.0000
5 Co 0.0000 0.0000 0.0000
6 Co 0.5000 0.5000 0.0000
7 Tc 0.1695 0.6695 0.5000
8 Tc 0.6695 0.8305 0.5000
9 Tc 0.8305 0.3305 0.5000
10 Tc 0.3305 0.1695 0.5000


Entry from the Alexandria database: crystalline Ac4CeNd at its relaxed geometry (PBE-GGA).

Summary:
* symmetry: No. 216
* DFT formation energy: 398 meV/atom

Cell: 7.1800 7.1800 7.1800 Å, 60.00 60.00 60.00°
Fractional positions:
1 Ac 0.6249 0.6249 0.1253
2 Ac 0.6249 0.1253 0.6249
3 Ac 0.6249 0.6249 0.6249
4 Ac 0.1253 0.6249 0.6249
5 Nd 0.2500 0.2500 0.2500
6 Ce 0.0000 0.0000 0.0000


Entry from the Alexandria database: crystalline Ni2RhC2 at its relaxed geometry (PBE-GGA).

Summary:
* symmetry: No. 127
* DFT formation energy: 1306 meV/atom
* excess energy over the best structure of this formula in the dataset: 302.8 meV per atom

Cell: 6.2232 6.2232 2.5495 Å, 90.00 90.00 90.00°
Fractional positions:
1 Ni 0.3634 0.8634 0.0000
2 Ni 0.8634 0.6366 0.0000
3 Ni 0.6366 0.1366 0.0000
4 Ni 0.1366 0.3634 0.0000
5 C 0.1955 0.6955 0.5000
6 C 0.6955 0.8045 0.5000
7 C 0.8045 0.3045 0.5000
8 C 0.3045 0.1955 0.5000
9 Rh 0.0000 0.0000 0.0000
10 Rh 0.5000 0.5000 0.0000


Entry from the Alexandria database: crystalline Ce2FeSi3Ni12 at its relaxed geometry (PBE-GGA).

Summary:
* symmetry: No. 166
* formation energy without anion corrections: -0.149 eV/atom

Cell: 6.2557 6.2557 6.2557 Å, 83.61 83.61 83.61°
Fractional positions:
1 Ce 0.6555 0.6555 0.6555
2 Ce 0.3445 0.3445 0.3445
3 Fe 0.0000 0.0000 0.0000
4 Si 0.5000 0.0000 0.0000
5 Si 0.0000 0.5000 0.0000
6 Si 0.0000 0.0000 0.5000
7 Ni 0.3837 0.3837 0.9091
8 Ni 0.8078 0.8078 0.3010
9 Ni 0.3010 0.8078 0.8078
10 Ni 0.9091 0.3837 0.3837
11 Ni 0.8078 0.3010 0.8078
12 Ni 0.3837 0.9091 0.3837
13 Ni 0.6163 0.6163 0.0909
14 Ni 0.1922 0.1922 0.6990
15 Ni 0.6990 0.1922 0.1922
16 Ni 0.0909 0.6163 0.6163
17 Ni 0.1922 0.6990 0.1922
18 Ni 0.6163 0.0909 0.6163


Entry from the Alexandria database: crystalline Li2CaCd at its relaxed geometry (PBE-GGA).

Summary:
* symmetry: No. 166
* DFT formation energy: 39 meV/atom
* excess energy over the best structure of this formula in the dataset: 223.6 meV per atom

Cell: 10.4213 10.4213 10.4213 Å, 19.08 19.08 19.08°
Fractional positions:
1 Ca 0.2500 0.2500 0.2500
2 Cd 0.7500 0.7500 0.7500
3 Li 0.0089 0.0089 0.0089
4 Li 0.4911 0.4911 0.4911


Entry from the Alexandria database: crystalline Pm4Sm8Ho at its relaxed geometry (PBE-GGA).

Summary:
* symmetry: No. 166
* DFT formation energy: 190 meV/atom

Cell: 7.4049 7.4049 10.3239 Å, 90.00 111.02 120.00°
Fractional positions:
1 Pm 0.0000 0.0000 0.0000
2 Pm 0.0000 0.5000 0.0000
3 Pm 0.5000 0.5000 0.0000
4 Pm 0.5000 0.0000 0.0000
5 Sm 0.5708 0.7854 0.3561
6 Sm 0.4292 0.2146 0.6439
7 Sm 0.4989 0.2495 0.3013
8 Sm 0.9482 0.1977 0.6987
9 Sm 0.5011 0.7505 0.6987
10 Sm 0.9482 0.7505 0.6987
11 Sm 0.0518 0.2495 0.3013
12 Sm 0.0518 0.8023 0.3013
13 Ho 0.0000 0.5000 0.5000